Ac2CeCoO8 | PBE with a Hubbard U | relaxed

Structure (POSCAR):
```
Ac2CeCoO8
1.0
5.5604 0.0000 0.0000
-2.7802 4.8155 0.0000
0.0000 0.0000 6.1407
Ac Ce Co O
2 1 1 8
direct
0.3333 0.6667 0.3646
0.6667 0.3333 0.6354
0.0000 0.0000 0.0000
0.0000 0.0000 0.5000
0.1529 0.3058 0.6892
0.1529 0.8471 0.6892
0.3058 0.1529 0.3108
0.3333 0.6667 0.0108
0.6667 0.3333 0.9892
0.6942 0.8471 0.6892
0.8471 0.1529 0.3108
0.8471 0.6942 0.3108
```

**E_tot**: -83.61 eV/cell
**SG**: P-3m1 (164)